The following is a DFT calculation (PBE+U) of an optimized crystal structure of NbSiNi2O.

The value obtained for the final energy is -5.06 eV per atom.

Cell: 3.7772 4.4777 3.7772 Å, 90.00 90.00 90.00°
Closest atoms and distances in Å follow each position.
Positions (direct):
Ni1 0.0000 0.0000 0.5000  2 O 1.89
Ni2 0.5000 0.0000 0.0000  2 O 1.89
Nb1 0.5000 0.5000 0.5000  4 Si 2.67, 8 Ni 2.93
O1 0.0000 0.0000 0.0000  4 Ni 1.89
Si1 0.0000 0.5000 0.0000  2 O 2.24